one.
Entry from Alexandria: a relaxed La6PtAu3 crystal (PBE).

Values from the calculation:
Mass density ... 8.4 g/cm³
Crystal system ... monoclinic

Cell lengths 7.4362, 7.8728, 12.7489 Å; angles 90.00, 120.52, 90.00 degrees
Space group P2_1/c (No. 14)
Inequivalent atoms, fractional coordinates:
La1 0.0858 0.0488 0.2514
La2 0.2319 0.6780 0.0842
La3 0.3841 0.1735 0.0723
Pt1 0.0000 0.0000 0.0000
Au1 0.3251 0.1183 0.7732
Au2 0.5000 0.0000 0.5000

two.
Entry from Alexandria: a relaxed La6PtAu3 crystal (PBE).

Values from the calculation:
Mass density ... 8.8 g/cm³
Crystal system ... monoclinic

Cell lengths 11.4353, 4.0740, 13.9940 Å; angles 90.00, 110.58, 90.00 degrees
Space group P2_1/m (No. 11)
Inequivalent atoms, fractional coordinates:
La1 0.0222 0.2500 0.3733
La2 0.0743 0.2500 0.8960
La3 0.2535 0.7500 0.3194
La4 0.3190 0.7500 0.7833
La5 0.3607 0.7500 0.1093
La6 0.4010 0.2500 0.5723
Pt1 0.4436 0.2500 0.2811
Au1 0.1429 0.2500 0.1387
Au2 0.1824 0.7500 0.5348
Au3 0.3910 0.2500 0.9535

Most stable structure among those shown: one.